The following is a DFT calculation (PBE) of Ho3InPt after structural relaxation.

a = 9.061 Å, b = 9.061 Å, c = 7.313 Å
α = 90.00°, β = 90.00°, γ = 73.69°
Atoms (fractional coordinates):
Ho1 0.131 0.131 0.000
Ho2 0.131 0.131 0.500
Ho3 0.194 0.530 0.505
Ho4 0.194 0.530 0.995
Ho5 0.470 0.806 0.505
Ho6 0.470 0.806 0.995
Ho7 0.530 0.194 0.005
Ho8 0.530 0.194 0.495
Ho9 0.806 0.470 0.005
Ho10 0.806 0.470 0.495
Ho11 0.869 0.869 0.000
Ho12 0.869 0.869 0.500
In1 0.174 0.826 0.250
In2 0.499 0.501 0.750
In3 0.501 0.499 0.250
In4 0.826 0.174 0.750
Pt1 0.060 0.373 0.250
Pt2 0.373 0.060 0.750
Pt3 0.627 0.940 0.250
Pt4 0.940 0.627 0.750

The space-group type is No. 63. The calculation puts the energy relative to the elements at -3.034 eV per formula unit.